VASP calculation (meta-GGA SCAN) on a PBEsol-optimized structure of SiRhO3.

a = 3.5571 Å, b = 3.5571 Å, c = 3.5571 Å
α = 90.00°, β = 90.00°, γ = 90.00°
Last column: nearest neighbours and their distance in Å.
Element x y z (fractional)
Si 0.0000 0.0000 0.0000  6 O 1.78
Rh 0.5000 0.5000 0.5000  12 O 2.52
O 0.0000 0.0000 0.5000  2 Si 1.78
O 0.0000 0.5000 0.0000  2 Si 1.78
O 0.5000 0.0000 0.0000  2 Si 1.78

Properties
DFT total energy ... -13.834 eV per atom
Formation energy without anion corrections ... -1.337 eV per atom
Size of the total moment ... 3.0 μB/f.u.